Entry 1:
Computed, not measured: a relaxed K2NaHf crystal at the GGA-PBEsol level of DFT.

Results
ΔE_f = 1.171 eV/atom
magnetization = 2.9 μB per cell
energy above the lowest structure with this stoichiometry = 0 meV per atom
SG = Fm-3m

a b c (Å): 6.1735 6.1735 6.1735
angles (deg): 60.00 60.00 60.00
With the nearest neighbours (Å) after each atom.
Element x y z (fractional)
K  0.2500  0.2500  0.2500  4 Hf 3.78, 4 Na 3.78
Na  0.0000  0.0000  0.0000  8 K 3.78
Hf  0.5000  0.5000  0.5000  8 K 3.78
K  0.7500  0.7500  0.7500  4 Hf 3.78, 4 Na 3.78

=====

Entry 2:
Computed, not measured: a relaxed DyInNi crystal at the GGA-PBEsol level of DFT.

Results
ΔE_f = -0.542 eV/atom
magnetization = 0.0 μB per cell
SG = P-62m

a b c (Å): 3.7506 7.3039 7.3039
angles (deg): 120.00 90.00 90.00
With the nearest neighbours (Å) after each atom.
Element x y z (fractional)
Dy  0.5000  0.0000  0.5887  5 Ni 2.90-3.00, 6 In 3.08-3.23
In  0.0000  0.7461  0.7461  4 Ni 2.64-2.77
In  0.0000  0.0000  0.2539  4 Ni 2.64-2.77
Dy  0.5000  0.4113  0.4113  5 Ni 2.90-3.00, 6 In 3.08-3.23
Ni  0.0000  0.3333  0.6667  3 In 2.77, 6 Dy 2.90
Ni  0.5000  0.0000  0.0000  6 In 2.64
Ni  0.0000  0.6667  0.3333  3 In 2.77, 6 Dy 2.90
In  0.0000  0.2539  0.0000  4 Ni 2.64-2.77
Dy  0.5000  0.5887  0.0000  5 Ni 2.90-3.00, 6 In 3.08-3.23

=====

Entry 3:
Computed, not measured: a relaxed NiHgSe2 crystal at the GGA-PBEsol level of DFT.

Results
magnetization = 0.0 μB per cell
formation energy (no corrections) = 461 meV/atom
SG = I4/mmm

a b c (Å): 4.2920 4.2920 4.9469
angles (deg): 115.71 115.71 90.00
With the nearest neighbours (Å) after each atom.
Element x y z (fractional)
Se  0.2500  0.7500  0.5000  4 Hg 2.90, 4 Ni 2.90, 4 Se 3.03
Hg  0.5000  0.5000  0.0000  8 Se 2.90, 4 Ni 3.03
Se  0.7500  0.2500  0.5000  4 Ni 2.90, 4 Hg 2.90, 4 Se 3.03
Ni  0.0000  0.0000  0.0000  8 Se 2.90, 4 Hg 3.03

=====

Entry 4:
Computed, not measured: a relaxed Na3TiW crystal at the GGA-PBEsol level of DFT.

Results
ΔE_f = 2.284 eV/atom
magnetization = 7.8 μB per cell
SG = Pm-3m

a b c (Å): 5.7137 5.7137 5.7137
angles (deg): 90.00 90.00 90.00
With the nearest neighbours (Å) after each atom.
Element x y z (fractional)
Na  0.5000  0.0000  0.0000  2 W 2.86
Na  0.0000  0.5000  0.0000  2 W 2.86
W  0.0000  0.0000  0.0000  6 Na 2.86
Ti  0.5000  0.5000  0.5000  12 Na 4.04
Na  0.0000  0.0000  0.5000  2 W 2.86

=====

Entry 5:
Computed, not measured: a relaxed ZrRe2Rh crystal at the GGA-PBEsol level of DFT.

Results
ΔE_f = -0.102 eV/atom
magnetization = 0.0 μB per cell
energy above the lowest structure with this stoichiometry = 0 meV per atom
SG = Pmmm

a b c (Å): 3.3404 4.1613 4.5221
angles (deg): 90.00 90.00 90.00
With the nearest neighbours (Å) after each atom.
Element x y z (fractional)
Re  0.0000  0.0000  0.0000  4 Re 2.67, 4 Rh 2.81
Rh  0.5000  0.0000  0.5000  4 Zr 2.67, 4 Re 2.81
Zr  0.0000  0.5000  0.5000  4 Rh 2.67, 4 Re 2.81
Re  0.5000  0.5000  0.0000  4 Re 2.67, 4 Zr 2.81

=====

Entry 6:
Computed, not measured: a relaxed VOF crystal at the GGA-PBEsol level of DFT.

Results
magnetization = 12.0 μB per cell
formation energy (no corrections) = -2409 meV/atom
SG = R-3

a b c (Å): 5.8723 5.8723 5.8723
angles (deg): 100.27 100.27 100.27
With the nearest neighbours (Å) after each atom.
Element x y z (fractional)
V  0.3970  0.8555  0.6556  4 O 1.95-2.05, 2 F 1.97-2.00
F  0.6688  0.0669  0.8911  2 V 1.97-2.00
F  0.0669  0.8911  0.6688  2 V 1.97-2.00
O  0.5953  0.8191  0.4248  4 V 1.95-2.05
V  0.6030  0.1445  0.3444  4 O 1.95-2.05, 2 F 1.97-2.00
O  0.1809  0.5752  0.4047  4 V 1.95-2.05
V  0.6556  0.3970  0.8555  4 O 1.95-2.05, 2 F 1.97-2.00
O  0.4047  0.1809  0.5752  4 V 1.95-2.05
V  0.8555  0.6556  0.3970  4 O 1.95-2.05, 2 F 1.97-2.00
V  0.1445  0.3444  0.6030  4 O 1.95-2.05, 2 F 1.97-2.00
O  0.8191  0.4248  0.5953  4 V 1.95-2.05
V  0.3444  0.6030  0.1445  4 O 1.95-2.05, 2 F 1.97-2.00
O  0.4248  0.5953  0.8191  4 V 1.95-2.05
F  0.3312  0.9331  0.1089  2 V 1.97-2.00
F  0.1089  0.3312  0.9331  2 V 1.97-2.00
O  0.5752  0.4047  0.1809  4 V 1.95-2.05
F  0.8911  0.6688  0.0669  2 V 1.97-2.00
F  0.9331  0.1089  0.3312  2 V 1.97-2.00

=====

Entry 7:
Computed, not measured: a relaxed BaAlRh crystal at the GGA-PBEsol level of DFT.

Results
ΔE_f = -0.308 eV/atom
magnetization = 0.0 μB per cell
SG = I4mm

a b c (Å): 3.2725 3.2808 6.5839
angles (deg): 104.43 104.39 90.00
With the nearest neighbours (Å) after each atom.
Element x y z (fractional)
Rh  0.3723  0.3723  0.7447  4 Al 2.52
Ba  0.6750  0.6750  0.3499  4 Ba 3.27-3.28, 4 Rh 3.36, 5 Al 3.42-3.59
Al  0.9527  0.9527  0.9054  4 Rh 2.52

=====

Entry 8:
Computed, not measured: a relaxed Ca2TlTc crystal at the GGA-PBEsol level of DFT.

Results
ΔE_f = 0.515 eV/atom
magnetization = 0.2 μB per cell
energy above the lowest structure with this stoichiometry = 153 meV per atom
SG = R3m

a b c (Å): 3.4457 3.4457 10.1865
angles (deg): 80.26 80.26 60.00
With the nearest neighbours (Å) after each atom.
Element x y z (fractional)
Tl  0.2370  0.2370  0.2890  3 Tc 2.78
Ca  0.9888  0.9888  0.0336  3 Tl 3.24, 6 Ca 3.45
Tc  0.5055  0.5055  0.4836  3 Tl 2.78, 3 Ca 2.89
Ca  0.7687  0.7687  0.6939  3 Tc 2.89

=====

Entry 9:
Computed, not measured: a relaxed NaCeH2S2O9 crystal at the GGA-PBEsol level of DFT.

Results
energy = -6.564 eV per atom
magnetization = 3.0 μB per cell
SG = P3_2

a b c (Å): 6.9390 6.9390 12.8590
angles (deg): 90.00 90.00 120.00
With the nearest neighbours (Å) after each atom.
Element x y z (fractional)
Na  0.4595  0.9919  0.4873  6 O 2.37-2.58
O  0.0867  0.0243  0.0267  2 H 0.99
Ce  0.4315  0.0187  0.9906  9 O 2.42-2.59
O  0.3618  0.4720  0.6372  1 S 1.48
H  0.9805  0.9006  0.0718  1 O 0.99
O  0.5887  0.1230  0.6671  1 S 1.48
O  0.9376  0.9133  0.3601  2 H 0.99
O  0.6313  0.1612  0.1623  1 S 1.49
S  0.5570  0.5474  0.5685  4 O 1.48-1.49
S  0.4526  0.0096  0.2352  4 O 1.48-1.49
O  0.8858  0.2323  0.4753  1 S 1.50
O  0.1118  0.6262  0.4877  1 S 1.48
O  0.8605  0.2446  0.9697  1 S 1.49
O  0.5893  0.7360  0.5018  1 S 1.49
O  0.9757  0.0624  0.6934  2 H 0.99
O  0.1103  0.6382  0.9705  1 S 1.48
O  0.2640  0.8533  0.1685  1 S 1.48
H  0.0994  0.0799  0.7385  1 O 0.99
H  0.0908  0.9936  0.3313  1 O 0.99
O  0.1944  0.4224  0.3555  1 S 1.47
H  0.9029  0.9092  0.6646  1 O 0.99
O  0.7554  0.6159  0.6364  1 S 1.49
H  0.9201  0.0195  0.4051  1 O 0.99
Ce  0.5872  0.5685  0.3240  9 O 2.42-2.59
O  0.5299  0.3687  0.4956  1 S 1.49
S  0.5603  0.5793  0.0787  4 O 1.47-1.50
O  0.3465  0.1142  0.8087  1 S 1.50
S  0.9904  0.4430  0.9019  4 O 1.48-1.49
O  0.5280  0.8897  0.3038  1 S 1.48
O  0.5776  0.7719  0.0222  1 S 1.47
O  0.2281  0.8056  0.6888  1 S 1.47
H  0.0064  0.0971  0.9980  1 O 0.99
Na  0.5325  0.5405  0.8207  6 O 2.37-2.58
O  0.1467  0.4107  0.8352  1 S 1.49
O  0.5143  0.8882  0.8211  1 S 1.48
Na  0.0081  0.4675  0.1540  6 O 2.37-2.58
S  0.4207  0.9811  0.7453  4 O 1.47-1.50
O  0.5343  0.4113  0.0004  1 S 1.48
S  0.0189  0.4397  0.4120  4 O 1.47-1.50
O  0.8770  0.4657  0.3337  1 S 1.48
Ce  0.9813  0.4128  0.6573  9 O 2.42-2.59
O  0.3841  0.1395  0.3031  1 S 1.49
O  0.8388  0.4701  0.8290  1 S 1.49
O  0.7677  0.6535  0.1420  1 S 1.50
O  0.3738  0.4857  0.1544  1 S 1.48

=====

Entry 10:
Computed, not measured: a relaxed ZnMoRh2 crystal at the GGA-PBEsol level of DFT.

Results
ΔE_f = -0.243 eV/atom
magnetization = 0.0 μB per cell
SG = Pmmm

a b c (Å): 2.7577 3.6262 5.5109
angles (deg): 90.00 90.00 90.00
With the nearest neighbours (Å) after each atom.
Element x y z (fractional)
Rh  0.0000  0.0000  0.7516  4 Zn 2.66, 4 Mo 2.67, 4 Rh 2.74-2.77
Mo  0.5000  0.5000  0.5000  8 Rh 2.67, 2 Zn 2.76, 2 Mo 2.76
Rh  0.0000  0.0000  0.2484  4 Zn 2.66, 4 Mo 2.67, 4 Rh 2.74-2.77
Zn  0.5000  0.5000  0.0000  8 Rh 2.66, 2 Mo 2.76, 2 Zn 2.76

=====

Entry 11:
Computed, not measured: a relaxed HfFe3Au crystal at the GGA-PBEsol level of DFT.

Results
ΔE_f = 1.338 eV/atom
magnetization = 7.7 μB per cell
SG = Pm-3m

a b c (Å): 4.5877 4.5877 4.5877
angles (deg): 90.00 90.00 90.00
With the nearest neighbours (Å) after each atom.
Element x y z (fractional)
Au  0.0000  0.0000  0.0000  6 Fe 2.29
Fe  0.5000  0.0000  0.0000  2 Au 2.29
Hf  0.5000  0.5000  0.5000  12 Fe 3.24
Fe  0.0000  0.5000  0.0000  2 Au 2.29
Fe  0.0000  0.0000  0.5000  2 Au 2.29

=====

Entry 12:
Computed, not measured: a relaxed YCu2AuC crystal at the GGA-PBEsol level of DFT.

Results
ΔE_f = 1.867 eV/atom
magnetization = 0.0 μB per cell
SG = P4/mmm

a b c (Å): 4.1813 4.8921 4.8921
angles (deg): 90.00 90.00 90.00
With the nearest neighbours (Å) after each atom.
Element x y z (fractional)
C  0.5000  0.0000  0.0000  2 Y 2.09
Y  0.0000  0.0000  0.0000  2 C 2.09
Au  0.5000  0.5000  0.5000  8 Cu 3.22, 4 C 3.46
Cu  0.0000  0.0000  0.5000  2 Y 2.45
Cu  0.0000  0.5000  0.0000  2 Y 2.45

=====

Among the records above, which one has the highest magnetization?
VOF